(A)
This record from Alexandria via LeMat-Bulk describes a geometry-optimized Al6VGa12 structure. The functional is PBE.

POSCAR file:
```
Al6VGa12
1.0
-5.4057 4.2990 -1.8807
-5.6320 -3.3684 2.8590
-1.0704 3.7444 6.0061
Ga Al V
12 6 1
Direct
0.4848 0.4522 0.8017 Ga
0.4522 0.8017 0.4848 Ga
0.5152 0.5478 0.1983 Ga
0.8017 0.4848 0.4522 Ga
0.3362 0.1407 0.9868 Ga
0.1983 0.5152 0.5478 Ga
0.6638 0.8593 0.0132 Ga
0.8593 0.0132 0.6638 Ga
0.9868 0.3362 0.1407 Ga
0.0132 0.6638 0.8593 Ga
0.1407 0.9868 0.3362 Ga
0.5478 0.1983 0.5152 Ga
0.8721 0.3617 0.8065 Al
0.3617 0.8065 0.8721 Al
0.1279 0.6383 0.1935 Al
0.8065 0.8721 0.3617 Al
0.6383 0.1935 0.1279 Al
0.1935 0.1279 0.6383 Al
0.0000 0.0000 0.0000 V
```

Computed properties:
- symmetry = No. 148
- M_tot (Bohr magnetons per cell) = 0.000

(B)
This record from Alexandria via LeMat-Bulk describes a geometry-optimized Al6VGa12 structure. The functional is PBE.

POSCAR file:
```
Al6VGa12
1.0
7.0046 -0.1322 -0.8939
-0.9985 6.9343 -0.8939
-0.1168 -0.1322 7.0604
Al Ga V
6 12 1
Direct
0.2249 0.8786 0.7516 Al
0.2484 0.7751 0.1214 Al
0.7751 0.1214 0.2484 Al
0.8786 0.7516 0.2249 Al
0.7516 0.2249 0.8786 Al
0.1214 0.2484 0.7751 Al
0.4983 0.5444 0.1979 Ga
0.5444 0.1979 0.4983 Ga
0.9216 0.6050 0.8360 Ga
0.5017 0.4556 0.8021 Ga
0.1979 0.4983 0.5444 Ga
0.8360 0.9216 0.6050 Ga
0.3950 0.1640 0.0784 Ga
0.8021 0.5017 0.4556 Ga
0.4556 0.8021 0.5017 Ga
0.6050 0.8360 0.9216 Ga
0.0784 0.3950 0.1640 Ga
0.1640 0.0784 0.3950 Ga
0.0000 0.0000 0.0000 V
```

Computed properties:
- symmetry = No. 148
- M_tot (Bohr magnetons per cell) = 0.000

Least stable: (B)

(A)
This record from Alexandria via LeMat-Bulk describes a geometry-optimized Al2V4Ga3 structure. The functional is PBE.

POSCAR file:
```
Al2V4Ga3
1.0
4.4356 0.0000 0.0000
-2.2178 4.3423 0.1344
0.0000 -1.5103 6.6680
V Ga Al
4 3 2
Direct
0.8836 0.7672 0.3466 V
0.6745 0.3489 0.0124 V
0.3255 0.6511 0.9876 V
0.1164 0.2328 0.6534 V
0.4447 0.8895 0.6611 Ga
0.0000 0.0000 0.0000 Ga
0.5553 0.1105 0.3389 Ga
0.7878 0.5755 0.6902 Al
0.2122 0.4245 0.3098 Al
```

Computed properties:
- symmetry = No. 12
- M_tot (Bohr magnetons per cell) = 0.000

(B)
This record from Alexandria via LeMat-Bulk describes a geometry-optimized Al2V4Ga3 structure. The functional is PBE.

POSCAR file:
```
Al2V4Ga3
1.0
-2.0862 -2.6915 0.5697
1.5648 -2.6067 3.8777
-4.5257 2.7000 6.6457
Al Ga V
2 3 4
Direct
0.3352 0.1082 0.2214 Al
0.6648 0.8918 0.7786 Al
0.6615 0.2349 0.4421 Ga
0.3385 0.7651 0.5579 Ga
0.0000 0.0000 0.0000 Ga
0.9961 0.3356 0.6721 V
0.6645 0.5536 0.1175 V
0.0039 0.6644 0.3279 V
0.3355 0.4464 0.8825 V
```

Computed properties:
- symmetry = No. 12
- M_tot (Bohr magnetons per cell) = 0.000

Least stable: (A)

(A)
This record from Alexandria via LeMat-Bulk describes a geometry-optimized AlVGa structure. The functional is PBE.

POSCAR file:
```
AlVGa
1.0
-2.1808 2.6649 -3.5381
-4.6122 -0.7387 -1.1583
-2.3278 4.3263 1.2486
Al V Ga
2 2 2
Direct
0.6453 0.7095 0.0000 Al
0.8953 0.2095 0.5000 Al
0.3152 0.3696 0.0000 V
0.5652 0.8696 0.5000 V
0.2388 0.5223 0.5000 Ga
0.9888 0.0223 0.0000 Ga
```

Computed properties:
- symmetry = No. 43
- M_tot (Bohr magnetons per cell) = 1.436

(B)
This record from Alexandria via LeMat-Bulk describes a geometry-optimized AlVGa structure. The functional is PBE.

POSCAR file:
```
AlVGa
1.0
-1.6394 -1.3708 -1.6606
0.0238 -5.4020 4.4355
-3.9522 3.4897 1.0213
V Ga Al
2 2 2
Direct
0.0634 0.0642 0.8900 V
0.0634 0.0641 0.4061 V
0.5628 0.7688 0.0005 Ga
0.5628 0.3596 0.2956 Ga
0.5630 0.7567 0.4945 Al
0.5630 0.3717 0.8016 Al
```

Computed properties:
- symmetry = No. 65
- M_tot (Bohr magnetons per cell) = 0.000

Least stable: (A)

(A)
This record from Alexandria via LeMat-Bulk describes a geometry-optimized AlV2Ga2 structure. The functional is PBE.

POSCAR file:
```
AlV2Ga2
1.0
-1.2644 -3.5433 5.4303
4.7758 -4.2511 -1.6619
2.3676 1.9476 1.8221
Ga V Al
4 4 2
Direct
0.8304 0.3304 0.5000 Ga
0.3304 0.1696 0.5000 Ga
0.1696 0.6696 0.5000 Ga
0.6696 0.8304 0.5000 Ga
0.1285 0.3715 0.0000 V
0.6285 0.1285 0.0000 V
0.3715 0.8715 0.0000 V
0.8715 0.6285 0.0000 V
0.0000 0.0000 0.0000 Al
0.5000 0.5000 0.0000 Al
```

Computed properties:
- symmetry = No. 127
- M_tot (Bohr magnetons per cell) = 0.000

(B)
This record from Alexandria via LeMat-Bulk describes a geometry-optimized AlV2Ga2 structure. The functional is PBE.

POSCAR file:
```
AlV2Ga2
1.0
4.5898 0.0000 0.0000
2.2949 4.8651 0.0612
2.2949 1.6450 6.6626
V Ga Al
4 4 2
Direct
0.1475 0.2534 0.4515 V
0.8525 0.7466 0.5485 V
0.5481 0.2604 0.6434 V
0.4519 0.7396 0.3566 V
0.0565 0.7221 0.1649 Ga
0.7558 0.2226 0.2659 Ga
0.9435 0.2779 0.8351 Ga
0.2442 0.7774 0.7341 Ga
0.3559 0.2362 0.0520 Al
0.6441 0.7638 0.9480 Al
```

Computed properties:
- symmetry = No. 12
- M_tot (Bohr magnetons per cell) = 0.000

(C)
This record from Alexandria via LeMat-Bulk describes a geometry-optimized AlV2Ga2 structure. The functional is PBE.

POSCAR file:
```
AlV2Ga2
1.0
6.6133 0.0000 0.0000
0.0000 6.6133 0.0000
0.0000 0.0000 3.4305
Ga V Al
4 4 2
Direct
0.3704 0.8704 0.0000 Ga
0.6296 0.1296 0.0000 Ga
0.1296 0.3704 0.0000 Ga
0.8704 0.6296 0.0000 Ga
0.6726 0.8274 0.5000 V
0.8274 0.3274 0.5000 V
0.1726 0.6726 0.5000 V
0.3274 0.1726 0.5000 V
0.0000 0.0000 0.0000 Al
0.5000 0.5000 0.0000 Al
```

Computed properties:
- symmetry = No. 127
- M_tot (Bohr magnetons per cell) = 5.385

Least stable: (A)

(A)
This record from Alexandria via LeMat-Bulk describes a geometry-optimized YAl2Ga3 structure. The functional is PBE.

POSCAR file:
```
YAl2Ga3
1.0
-0.3097 -0.4853 -4.5530
4.1201 0.2399 2.0071
0.0404 -6.1991 0.6580
Al Y Ga
2 1 3
Direct
0.3333 0.6667 0.6973 Al
0.6667 0.3333 0.3027 Al
0.0000 0.0000 0.0000 Y
0.0000 0.0000 0.5000 Ga
0.3333 0.6667 0.2591 Ga
0.6667 0.3333 0.7409 Ga
```

Computed properties:
- symmetry = No. 164
- M_tot (Bohr magnetons per cell) = 0.000

(B)
This record from Alexandria via LeMat-Bulk describes a geometry-optimized YAl2Ga3 structure. The functional is PBE.

POSCAR file:
```
YAl2Ga3
1.0
5.4700 0.7745 -0.3973
1.2589 4.8165 -2.4797
-0.6280 1.2881 8.5504
Al Y Ga
4 2 6
Direct
0.4576 0.7567 0.0017 Al
0.9573 0.7578 0.0015 Al
0.0427 0.2422 0.9985 Al
0.5424 0.2433 0.9983 Al
0.2505 0.6624 0.3284 Y
0.7495 0.3376 0.6716 Y
0.8598 0.3061 0.2800 Ga
0.1402 0.6939 0.7200 Ga
0.6422 0.9738 0.2834 Ga
0.7511 0.7596 0.5199 Ga
0.2489 0.2404 0.4801 Ga
0.3578 0.0262 0.7166 Ga
```

Computed properties:
- symmetry = No. 2
- M_tot (Bohr magnetons per cell) = 0.000

Least stable: (B)

(A)
This record from Alexandria via LeMat-Bulk describes a geometry-optimized YAlGa3 structure. The functional is PBE.

POSCAR file:
```
YAlGa3
1.0
-1.0941 5.2295 -1.4279
-1.4879 -1.6905 -5.0509
-5.2127 -0.6152 1.7414
Al Ga Y
1 3 1
Direct
0.5000 0.5000 0.5000 Al
0.0000 0.5000 0.0000 Ga
0.0000 0.0000 0.5000 Ga
0.5000 0.0000 0.0000 Ga
0.0000 0.0000 0.0000 Y
```

Computed properties:
- symmetry = No. 221
- M_tot (Bohr magnetons per cell) = 0.000

(B)
This record from Alexandria via LeMat-Bulk describes a geometry-optimized YAlGa3 structure. The functional is PBE.

POSCAR file:
```
YAlGa3
1.0
-0.7285 4.7095 0.9326
-4.6185 -0.9450 1.1645
1.3109 -0.7123 4.6210
Ga Y Al
3 1 1
Direct
0.0000 0.5000 0.0000 Ga
0.0000 0.0000 0.5000 Ga
0.5000 0.0000 0.0000 Ga
0.5000 0.5000 0.5000 Y
0.0000 0.0000 0.0000 Al
```

Computed properties:
- symmetry = No. 221
- M_tot (Bohr magnetons per cell) = 0.000

(C)
This record from Alexandria via LeMat-Bulk describes a geometry-optimized YAlGa3 structure. The functional is PBE.

POSCAR file:
```
YAlGa3
1.0
-0.7169 3.8683 1.7698
-5.1250 0.9924 -4.2454
-4.3450 -2.8956 4.5684
Al Ga Y
2 6 2
Direct
0.5000 0.5000 0.4796 Al
0.0000 0.0000 0.5204 Al
0.5000 0.1922 0.7142 Ga
0.5001 0.5000 0.1080 Ga
0.0000 0.3078 0.2858 Ga
0.0000 0.6922 0.2858 Ga
0.9999 0.0000 0.8920 Ga
0.5000 0.8078 0.7142 Ga
0.4999 0.0000 0.1824 Y
0.0001 0.5000 0.8176 Y
```

Computed properties:
- symmetry = No. 59
- M_tot (Bohr magnetons per cell) = 0.000

(D)
This record from Alexandria via LeMat-Bulk describes a geometry-optimized YAlGa3 structure. The functional is PBE.

POSCAR file:
```
YAlGa3
1.0
2.9990 0.0000 0.0000
0.0000 9.5304 0.0000
0.0000 0.0000 7.7111
Y Ga Al
2 6 2
Direct
0.0000 0.2500 0.7774 Y
0.0000 0.7500 0.2226 Y
0.5000 0.5310 0.6537 Ga
0.5000 0.4690 0.3463 Ga
0.5000 0.0000 0.0000 Ga
0.5000 0.9690 0.6537 Ga
0.5000 0.0310 0.3463 Ga
0.5000 0.5000 0.0000 Ga
0.5000 0.7500 0.8460 Al
0.5000 0.2500 0.1540 Al
```

Computed properties:
- symmetry = No. 51
- M_tot (Bohr magnetons per cell) = 0.000

Least stable: (A)

(A)
This record from Alexandria via LeMat-Bulk describes a geometry-optimized Y2Al2Ga3 structure. The functional is PBE.

POSCAR file:
```
Y2Al2Ga3
1.0
-2.7210 -0.6074 -3.1515
4.4962 -4.7958 -2.9578
-2.7797 -6.6035 6.4818
Ga Al Y
6 4 4
Direct
0.2275 0.7500 0.4549 Ga
0.4430 0.9231 0.8860 Ga
0.5570 0.0769 0.1140 Ga
0.5570 0.4231 0.1140 Ga
0.7725 0.2500 0.5451 Ga
0.4430 0.5769 0.8860 Ga
0.3214 0.0657 0.6428 Al
0.6786 0.9343 0.3572 Al
0.6786 0.5657 0.3572 Al
0.3214 0.4343 0.6428 Al
0.8456 0.7500 0.6912 Y
0.1544 0.2500 0.3088 Y
0.9447 0.2500 0.8894 Y
0.0553 0.7500 0.1106 Y
```

Computed properties:
- symmetry = No. 63
- M_tot (Bohr magnetons per cell) = 0.000

(B)
This record from Alexandria via LeMat-Bulk describes a geometry-optimized Y2Al2Ga3 structure. The functional is PBE.

POSCAR file:
```
Y2Al2Ga3
1.0
-4.5262 4.2192 0.3009
-4.5488 -0.0333 4.2056
-0.6069 4.1715 4.5398
Al Y Ga
2 2 3
Direct
0.3014 0.3014 0.3014 Al
0.6986 0.6986 0.6986 Al
0.0000 0.0000 0.0000 Y
0.5000 0.5000 0.5000 Y
0.5000 0.0000 0.0000 Ga
0.0000 0.5000 0.0000 Ga
0.0000 0.0000 0.5000 Ga
```

Computed properties:
- symmetry = No. 166
- M_tot (Bohr magnetons per cell) = 0.000

Least stable: (B)

(A)
This record from Alexandria via LeMat-Bulk describes a geometry-optimized YAlGa6 structure. The functional is PBE.

POSCAR file:
```
YAlGa6
1.0
-2.3500 -0.5274 -5.2241
-4.0635 -1.0422 3.9362
-4.3370 4.3564 -0.5664
Al Y Ga
1 1 6
Direct
0.0000 0.0000 0.0000 Al
0.5000 0.5000 0.5000 Y
0.1658 0.6929 0.2648 Ga
0.2743 0.2743 0.1764 Ga
0.3071 0.8342 0.7352 Ga
0.6929 0.1658 0.2648 Ga
0.8342 0.3071 0.7352 Ga
0.7257 0.7257 0.8236 Ga
```

Computed properties:
- symmetry = No. 12
- M_tot (Bohr magnetons per cell) = 0.000

(B)
This record from Alexandria via LeMat-Bulk describes a geometry-optimized YAlGa6 structure. The functional is PBE.

POSCAR file:
```
YAlGa6
1.0
3.9367 0.0000 0.0000
0.0000 6.2143 -0.0401
0.0000 0.0389 6.2143
Ga Al Y
6 1 1
Direct
0.0000 0.2689 0.2689 Ga
0.5000 0.5000 0.0000 Ga
0.0000 0.2690 0.7310 Ga
0.0000 0.7311 0.7311 Ga
0.0000 0.7310 0.2690 Ga
0.5000 0.0000 0.5000 Ga
0.5000 0.5000 0.5000 Al
0.5000 0.0000 0.0000 Y
```

Computed properties:
- symmetry = No. 123
- M_tot (Bohr magnetons per cell) = 0.000

Least stable: (A)

(A)
This record from Alexandria via LeMat-Bulk describes a geometry-optimized YAl4Ga structure. The functional is PBE.

POSCAR file:
```
YAl4Ga
1.0
4.3264 0.0000 1.5159
2.2058 5.1776 0.6363
0.5385 -1.6375 5.3951
Al Ga Y
4 1 1
Direct
0.2600 0.4070 0.0730 Al
0.2600 0.0730 0.4070 Al
0.7400 0.5930 0.9270 Al
0.7400 0.9270 0.5930 Al
0.0000 0.0000 0.0000 Ga
0.5000 0.5000 0.5000 Y
```

Computed properties:
- symmetry = No. 71
- M_tot (Bohr magnetons per cell) = 0.000

(B)
This record from Alexandria via LeMat-Bulk describes a geometry-optimized YAl4Ga structure. The functional is PBE.

POSCAR file:
```
YAl4Ga
1.0
-0.1392 -0.2176 -5.1469
-0.2839 -5.1407 0.2250
-10.0138 3.2548 2.7132
Al Y Ga
8 2 2
Direct
0.1405 0.3952 0.7903 Al
0.1452 0.8998 0.2903 Al
0.6048 0.8595 0.2097 Al
0.1452 0.3905 0.2903 Al
0.6048 0.3502 0.2097 Al
0.6498 0.3952 0.7903 Al
0.1002 0.8548 0.7097 Al
0.6095 0.8548 0.7097 Al
0.0000 0.0000 0.0000 Y
0.7500 0.2500 0.5000 Y
0.5000 0.5000 0.0000 Ga
0.2500 0.7500 0.5000 Ga
```

Computed properties:
- symmetry = No. 141
- M_tot (Bohr magnetons per cell) = 0.000

Least stable: (B)

(A)
This record from Alexandria via LeMat-Bulk describes a geometry-optimized Y2AlZnGa structure. The functional is PBE.

POSCAR file:
```
Y2AlZnGa
1.0
-0.2783 4.0583 -1.6905
-1.7121 -2.7857 -6.4054
-6.2600 1.1046 3.6824
Al Y Ga Zn
2 4 2 2
Direct
0.7500 0.3507 0.6581 Al
0.2500 0.6493 0.3419 Al
0.7500 0.8635 0.6192 Y
0.2500 0.1365 0.3808 Y
0.2500 0.3057 0.9392 Y
0.7500 0.6943 0.0608 Y
0.2500 0.5705 0.6932 Ga
0.7500 0.4295 0.3068 Ga
0.7500 0.0918 0.0674 Zn
0.2500 0.9082 0.9326 Zn
```

Computed properties:
- symmetry = No. 11
- M_tot (Bohr magnetons per cell) = 0.000

(B)
This record from Alexandria via LeMat-Bulk describes a geometry-optimized Y2AlZnGa structure. The functional is PBE.

POSCAR file:
```
Y2AlZnGa
1.0
-3.2210 4.4146 -0.6859
-1.3830 -0.3390 4.3130
4.1409 3.2674 1.5846
Zn Ga Al Y
1 1 1 2
Direct
0.0000 0.5000 0.0000 Zn
0.5000 0.5000 0.5000 Ga
0.0000 0.0000 0.0000 Al
0.0000 0.0000 0.5000 Y
0.5000 0.0000 0.0000 Y
```

Computed properties:
- symmetry = No. 123
- M_tot (Bohr magnetons per cell) = 0.000

Least stable: (B)